Record 1
The following is a GGA-PBE calculation of a relaxed structure of Tb2AlIr, from Alexandria.

a = 3.5685 Å, b = 3.5685 Å, c = 6.9216 Å
α = 90.00°, β = 90.00°, γ = 90.00°
Positions (direct):
Ir (0.5000, 0.5000, 0.0000)
Tb (0.0000, 0.0000, 0.7678)
Tb (0.0000, 0.0000, 0.2322)
Al (0.5000, 0.5000, 0.5000)

## Properties
- DOS(E_F): 0.390 states/eV per atom
- Calculated formation energy: -0.610 eV/atom
- Crystal system: tetragonal



Record 2
The following is a GGA-PBE calculation of a relaxed structure of CaOs2Rh, from Alexandria.

a = 4.8889 Å, b = 5.5994 Å, c = 2.7107 Å
α = 78.39°, β = 84.63°, γ = 114.45°
Positions (direct):
Rh (0.0000, 0.5000, 0.5000)
Ca (0.5000, 0.5000, 0.0000)
Os (0.0000, 0.0000, 0.0000)
Os (0.5000, 0.0000, 0.5000)

## Properties
- DOS(E_F): 1.311 states/eV per atom
- Calculated formation energy: 0.483 eV/atom
- Crystal system: monoclinic



Record 3
The following is a GGA-PBE calculation of a relaxed structure of Mo2PbW4, from Alexandria.

a = 4.9126 Å, b = 4.9126 Å, c = 7.3905 Å
α = 70.59°, β = 70.59°, γ = 90.00°
Positions (direct):
Pb (0.0000, 0.0000, 0.0000)
Mo (0.6092, 0.6092, 0.7815)
Mo (0.3908, 0.3908, 0.2185)
W (0.7885, 0.7885, 0.4229)
W (0.2115, 0.2115, 0.5771)
W (0.0000, 0.5000, 0.0000)
W (0.5000, 0.0000, 0.0000)

## Properties
- DOS(E_F): 1.098 states/eV per atom
- Calculated formation energy: 2.546 eV/atom
- Crystal system: tetragonal